An optimized crystal structure of Na2InAs3Pd4, computed with PBE. Values from VASP.

```
&SYSTEM
  ibrav = 0, nat = 10, ntyp = 4
/
ATOMIC_SPECIES
Na 22.99 Na.upf
In 114.82 In.upf
As 74.92 As.upf
Pd 106.42 Pd.upf
ATOMIC_POSITIONS angstrom
Na 0.0000 2.1806 2.5058
Na 2.1806 0.0000 8.0848
In 0.0000 0.0000 5.2953
As 0.0000 2.1806 9.2941
As 2.1806 0.0000 1.2965
As 2.1806 2.1806 5.2953
Pd 0.0000 0.0000 0.0000
Pd 0.0000 2.1806 6.8546
Pd 2.1806 0.0000 3.7359
Pd 2.1806 2.1806 0.0000
CELL_PARAMETERS angstrom
4.3612 0.0000 0.0000
0.0000 4.3612 0.0000
0.0000 0.0000 10.5906
```

Properties
Energy of formation in eV per atom: -0.397

***

An optimized crystal structure of NaInAsRh2, computed with PBE. Values from VASP.

```
&SYSTEM
  ibrav = 0, nat = 5, ntyp = 4
/
ATOMIC_SPECIES
Na 22.99 Na.upf
In 114.82 In.upf
As 74.92 As.upf
Rh 102.91 Rh.upf
ATOMIC_POSITIONS angstrom
Na 0.0000 0.0000 0.0000
In 2.3092 2.3092 0.0000
As 0.0000 0.0000 2.5211
Rh 0.0000 2.3092 2.5211
Rh 2.3092 0.0000 2.5211
CELL_PARAMETERS angstrom
4.6185 0.0000 0.0000
0.0000 4.6185 0.0000
0.0000 0.0000 5.0423
```

Properties
Energy of formation in eV per atom: 0.192

***

An optimized crystal structure of NaInAsRu2, computed with PBE. Values from VASP.

```
&SYSTEM
  ibrav = 0, nat = 5, ntyp = 4
/
ATOMIC_SPECIES
Na 22.99 Na.upf
In 114.82 In.upf
As 74.92 As.upf
Ru 101.07 Ru.upf
ATOMIC_POSITIONS angstrom
Na 0.0000 0.0000 0.0000
In 2.2930 2.2930 0.0000
As 0.0000 0.0000 2.4324
Ru 0.0000 2.2930 2.4324
Ru 2.2930 0.0000 2.4324
CELL_PARAMETERS angstrom
4.5861 0.0000 0.0000
0.0000 4.5861 0.0000
0.0000 0.0000 4.8649
```

Properties
Energy of formation in eV per atom: 0.503

***

An optimized crystal structure of Na4In3AsS8, computed with PBE. Values from VASP.

```
&SYSTEM
  ibrav = 0, nat = 16, ntyp = 4
/
ATOMIC_SPECIES
Na 22.99 Na.upf
In 114.82 In.upf
As 74.92 As.upf
S 32.06 S.upf
ATOMIC_POSITIONS angstrom
Na 0.0000 0.0000 0.0000
Na -1.9156 -1.1060 6.7038
Na -1.9156 1.1060 13.4075
Na 0.0000 2.2120 6.7038
In -3.8313 0.0000 10.0557
In -1.9156 1.1060 3.3519
In 1.9156 1.1060 3.3519
As 0.0000 0.0000 10.0557
S 0.0000 0.0000 4.8179
S -1.8928 -1.0928 11.5245
S 0.0000 -2.1856 8.5868
S -1.8928 1.0928 8.5868
S 1.8928 -1.0928 11.5245
S 0.0000 2.1857 11.5245
S 1.8928 1.0928 8.5868
S 0.0000 0.0000 15.2934
CELL_PARAMETERS angstrom
3.8313 2.2120 6.7038
-3.8313 2.2120 6.7038
0.0000 -4.4240 6.7038
```

Properties
Formation energy (no corrections) in eV/atom: -0.78

***

An optimized crystal structure of Na3In3AsS8, computed with PBE. Values from VASP.

```
&SYSTEM
  ibrav = 0, nat = 15, ntyp = 4
/
ATOMIC_SPECIES
Na 22.99 Na.upf
In 114.82 In.upf
As 74.92 As.upf
S 32.06 S.upf
ATOMIC_POSITIONS angstrom
Na -1.8900 -1.0912 6.8167
Na -1.8900 1.0912 13.6334
Na 0.0000 2.1824 6.8167
In -3.7800 0.0000 10.2250
In -1.8900 1.0912 3.4083
In 1.8900 1.0912 3.4083
As 0.0000 0.0000 10.2250
S 0.0000 0.0000 4.8872
S -1.8094 -1.0447 11.6693
S 0.0000 -2.0894 8.7808
S -1.8094 1.0447 8.7808
S 1.8094 -1.0447 11.6693
S 0.0000 2.0894 11.6693
S 1.8094 1.0447 8.7808
S 0.0000 0.0000 15.5628
CELL_PARAMETERS angstrom
3.7800 2.1824 6.8167
-3.7800 2.1824 6.8167
0.0000 -4.3648 6.8167
```

Properties
Formation energy (no corrections) in eV/atom: -0.67

***

An optimized crystal structure of Na2InAsS4, computed with PBE. Values from VASP.

```
&SYSTEM
  ibrav = 0, nat = 8, ntyp = 4
/
ATOMIC_SPECIES
Na 22.99 Na.upf
In 114.82 In.upf
As 74.92 As.upf
S 32.06 S.upf
ATOMIC_POSITIONS angstrom
Na 0.0000 0.0000 0.0000
Na 0.0000 3.2302 2.6376
In 0.0000 0.0000 5.2753
As 3.2302 0.0000 2.6376
S 1.6225 1.8703 -1.3426
S 4.5902 1.6225 1.3426
S 1.6078 1.3600 3.9326
S -1.3600 1.6078 6.6179
CELL_PARAMETERS angstrom
-3.2302 3.2302 5.2753
3.2302 -3.2302 5.2753
3.2302 3.2302 -5.2753
```

Properties
Formation energy (no corrections) in eV/atom: -0.61

***

An optimized crystal structure of NaInAs2S, computed with PBE. Values from VASP.

```
&SYSTEM
  ibrav = 0, nat = 5, ntyp = 4
/
ATOMIC_SPECIES
Na 22.99 Na.upf
In 114.82 In.upf
As 74.92 As.upf
S 32.06 S.upf
ATOMIC_POSITIONS angstrom
Na 0.0000 0.0000 0.0000
In 2.5072 2.5072 0.0000
As 0.0000 2.5072 2.5137
As 2.5072 0.0000 2.5137
S 0.0000 0.0000 2.5137
CELL_PARAMETERS angstrom
5.0145 0.0000 0.0000
0.0000 5.0145 0.0000
0.0000 0.0000 5.0275
```

Properties
Formation energy (no corrections) in eV/atom: 0.13

***

An optimized crystal structure of Na2InAsSe4, computed with PBE. Values from VASP.

```
&SYSTEM
  ibrav = 0, nat = 16, ntyp = 4
/
ATOMIC_SPECIES
Na 22.99 Na.upf
In 114.82 In.upf
As 74.92 As.upf
Se 78.96 Se.upf
ATOMIC_POSITIONS angstrom
Na 0.0000 0.0000 0.0000
Na -2.0333 2.0441 2.8853
Na 0.0000 4.0881 0.0000
Na 2.0333 2.0441 2.8853
In 4.0666 0.0000 0.0000
In 0.0000 0.0000 5.7707
As 2.0333 2.0441 -2.8853
As 2.0333 -2.0441 2.8853
Se 4.0666 -0.1697 2.8134
Se 4.0666 3.9184 -2.8134
Se 2.1557 2.0441 -0.1167
Se 5.9776 2.0441 -0.1167
Se -1.9109 2.0441 5.8874
Se 1.9109 2.0441 5.8874
Se 0.0000 0.1697 8.5840
Se 0.0000 4.2578 2.9573
CELL_PARAMETERS angstrom
-4.0666 4.0881 5.7707
4.0666 -4.0881 5.7707
4.0666 4.0881 -5.7707
```

Properties
Formation energy (no corrections) in eV/atom: -0.64

***

An optimized crystal structure of Na2SrInAs2, computed with PBE. Values from VASP.

```
&SYSTEM
  ibrav = 0, nat = 12, ntyp = 4
/
ATOMIC_SPECIES
Na 22.99 Na.upf
Sr 87.62 Sr.upf
In 114.82 In.upf
As 74.92 As.upf
ATOMIC_POSITIONS angstrom
Na 0.0000 0.7284 0.0000
Na 0.0000 8.0303 4.1098
Na 2.2710 1.5295 2.6273
Na 2.2710 7.2292 6.7371
Sr 2.2710 3.8165 7.6816
Sr 2.2710 4.9422 3.5718
In 0.0000 2.6344 4.9215
In 0.0000 6.1243 0.8117
As 0.0000 3.4634 1.7753
As 0.0000 5.2953 5.8851
As 2.2710 1.2679 5.7928
As 2.2710 7.4908 1.6830
CELL_PARAMETERS angstrom
4.5421 0.0000 0.0000
0.0000 8.7587 0.0000
0.0000 0.0000 8.2195
```

Properties
Energy of formation in eV per atom: -0.590

***

An optimized crystal structure of NaSrInAs2, computed with PBE. Values from VASP.

```
&SYSTEM
  ibrav = 0, nat = 10, ntyp = 4
/
ATOMIC_SPECIES
Na 22.99 Na.upf
Sr 87.62 Sr.upf
In 114.82 In.upf
As 74.92 As.upf
ATOMIC_POSITIONS angstrom
Na -0.4570 0.0000 3.2965
Na 9.5931 0.0000 5.0340
Sr -1.5612 0.0000 7.1304
Sr 10.6972 0.0000 1.2001
In 5.1949 0.0000 2.5800
In 3.9411 0.0000 5.7506
As -4.7170 0.0000 7.2801
As 2.5634 0.0000 3.3947
As 6.5726 0.0000 4.9359
As 13.8530 0.0000 1.0505
CELL_PARAMETERS angstrom
8.0823 -2.2371 0.0000
8.0823 2.2371 0.0000
-7.0285 0.0000 8.3306
```

Properties
Energy of formation in eV per atom: -0.645

***

An optimized crystal structure of NaTi2InAs, computed with PBE. Values from VASP.

```
&SYSTEM
  ibrav = 0, nat = 5, ntyp = 4
/
ATOMIC_SPECIES
Na 22.99 Na.upf
Ti 47.87 Ti.upf
In 114.82 In.upf
As 74.92 As.upf
ATOMIC_POSITIONS angstrom
Na 0.0000 0.0000 0.0000
Ti 0.0000 2.4108 0.0000
Ti 2.4108 0.0000 0.0000
In 2.4108 2.4108 2.4019
As 0.0000 0.0000 2.4019
CELL_PARAMETERS angstrom
4.8217 0.0000 0.0000
0.0000 4.8217 0.0000
0.0000 0.0000 4.8038
```

Properties
Energy of formation in eV per atom: 1.181

***

An optimized crystal structure of NaTlInAs, computed with PBE. Values from VASP.

```
&SYSTEM
  ibrav = 0, nat = 4, ntyp = 4
/
ATOMIC_SPECIES
Na 22.99 Na.upf
Tl 204.38 Tl.upf
In 114.82 In.upf
As 74.92 As.upf
ATOMIC_POSITIONS angstrom
Na 0.0000 0.0000 0.0000
Tl 5.5934 5.5934 5.5934
In 3.7289 3.7289 3.7289
As 1.8645 1.8645 1.8645
CELL_PARAMETERS angstrom
0.0000 3.7289 3.7289
3.7289 0.0000 3.7289
3.7289 3.7289 0.0000
```

Properties
Energy of formation in eV per atom: -0.087